YTcBr2 (PBE-GGA, relaxed); total energy = -5.4310 eV per atom; crystal system = trigonal; energy relative to the lowest polymorph listed for this composition = 78.3 meV per atom; ΔE_f (raw) = -1.5 eV/f.u.
1.0
1.837 1.060 9.308
-1.837 1.060 9.308
0.000 -2.121 9.308
Y Tc Br
1 1 2
Direct
0.000 0.000 0.000
0.746 0.746 0.746
0.262 0.262 0.262
0.462 0.462 0.462